## Cu2Te (PBE)

Data for Cu2Te after structural relaxation.

Computed properties:
Space-group type: P6/mmm, No. 191
Formation energy (no corrections) (eV per atom): 0.0890
Electronic total energy (eV/atom): -3.69
Size of the total moment (μB/f.u.): 0.000

a = 4.297 Å, b = 4.297 Å, c = 8.769 Å
α = 90.00°, β = 90.00°, γ = 120.00°
Positions (direct):
Cu (0.333, 0.667, 0.852)
Cu (0.667, 0.333, 0.852)
Te (0.000, 0.000, 0.739)
Te (0.000, 0.000, 0.261)
Cu (0.333, 0.667, 0.148)
Cu (0.667, 0.333, 0.148)



## LiTmAg4 (PBE)

Data for LiTmAg4 after structural relaxation.

Computed properties:
Space-group type: F-43m, No. 216
Electronic total energy (eV/atom): -3.09
Offset from the most stable computed form (eV per atom): 0.054
Size of the total moment (μB/f.u.): 0.000

a = 5.554 Å, b = 5.554 Å, c = 5.554 Å
α = 60.00°, β = 60.00°, γ = 60.00°
Positions (direct):
Li (0.250, 0.250, 0.250)
Ag (0.625, 0.625, 0.126)
Tm (0.000, 0.000, 0.000)
Ag (0.625, 0.126, 0.625)
Ag (0.625, 0.625, 0.625)
Ag (0.126, 0.625, 0.625)



Which formula does entry 1 have?
Cu2Te